No. 1
# TlTc2Os, optimized geometry, DFT PBE
data_TlTc2Os
_chemical_formula_sum 'Tl3 Tc6 Os3'
_space_group_name_H-M_alt 'P 1'
_space_group_IT_number 1
_cell_length_a 2.8722
_cell_length_b 2.8722
_cell_length_c 27.6586
_cell_angle_alpha 90.00
_cell_angle_beta 90.00
_cell_angle_gamma 120.00
loop_
_space_group_symop_operation_xyz
'x,y,z'
loop_
_atom_site_label
_atom_site_fract_x
_atom_site_fract_y
_atom_site_fract_z
_atom_site_occupancy
Tl1 0.0000 0.0000 0.0000 1
Tl2 0.3333 0.6667 0.6667 1
Tl3 0.6667 0.3333 0.3333 1
Tc1 0.0000 0.0000 0.2427 1
Tc2 0.0000 0.0000 0.5007 1
Tc3 0.3333 0.6667 0.1674 1
Tc4 0.3333 0.6667 0.9094 1
Tc5 0.6667 0.3333 0.5760 1
Tc6 0.6667 0.3333 0.8340 1
Os1 0.0000 0.0000 0.7580 1
Os2 0.3333 0.6667 0.4247 1
Os3 0.6667 0.3333 0.0913 1
# Crystal system: trigonal
# Fermi-level density of states in states/eV per cell: 13.04
# E_tot in eV per atom: -8.043
# Offset from the most stable computed form in meV/atom: 77
# ΔE_f in eV per atom: 0.5389
# SG: R3m
# Total magnetic moment in μB per cell: 0.00

No. 2
# TlTcOs, optimized geometry, DFT PBE
data_TlTcOs
_chemical_formula_sum 'Tl4 Tc4 Os4'
_space_group_name_H-M_alt 'P 1'
_space_group_IT_number 1
_cell_length_a 6.1766
_cell_length_b 6.1766
_cell_length_c 6.1766
_cell_angle_alpha 90.00
_cell_angle_beta 90.00
_cell_angle_gamma 90.00
loop_
_space_group_symop_operation_xyz
'x,y,z'
loop_
_atom_site_label
_atom_site_fract_x
_atom_site_fract_y
_atom_site_fract_z
_atom_site_occupancy
Tl1 0.0000 0.0000 0.0000 1
Tl2 0.0000 0.5000 0.5000 1
Tl3 0.5000 0.0000 0.5000 1
Tl4 0.5000 0.5000 0.0000 1
Tc1 0.0000 0.0000 0.5000 1
Tc2 0.0000 0.5000 0.0000 1
Tc3 0.5000 0.0000 0.0000 1
Tc4 0.5000 0.5000 0.5000 1
Os1 0.2500 0.2500 0.7500 1
Os2 0.2500 0.7500 0.2500 1
Os3 0.7500 0.2500 0.2500 1
Os4 0.7500 0.7500 0.7500 1
# Crystal system: cubic
# Fermi-level density of states in states/eV per cell: 6.73
# E_tot in eV per atom: -7.101
# Offset from the most stable computed form in meV/atom: 419
# ΔE_f in eV per atom: 0.8860
# SG: F-43m
# Total magnetic moment in μB per cell: 0.00

No. 3
# TlTcOs2, optimized geometry, DFT PBE
data_TlTcOs2
_chemical_formula_sum 'Tl2 Tc2 Os4'
_space_group_name_H-M_alt 'P 1'
_space_group_IT_number 1
_cell_length_a 2.8461
_cell_length_b 4.9132
_cell_length_c 9.6270
_cell_angle_alpha 90.00
_cell_angle_beta 90.00
_cell_angle_gamma 90.00
loop_
_space_group_symop_operation_xyz
'x,y,z'
loop_
_atom_site_label
_atom_site_fract_x
_atom_site_fract_y
_atom_site_fract_z
_atom_site_occupancy
Tl1 0.0000 0.0000 0.0000 1
Tl2 0.5000 0.5000 0.0000 1
Tc1 0.0000 0.5000 0.2716 1
Tc2 0.5000 0.0000 0.2716 1
Os1 0.0000 0.0000 0.4982 1
Os2 0.0000 0.5000 0.7286 1
Os3 0.5000 0.0000 0.7286 1
Os4 0.5000 0.5000 0.4982 1
# Crystal system: orthorhombic
# Fermi-level density of states in states/eV per cell: 8.83
# E_tot in eV per atom: -7.884
# Offset from the most stable computed form in meV/atom: 333
# ΔE_f in eV per atom: 0.9134
# SG: Cmm2
# Total magnetic moment in μB per cell: 0.01